# 1
Material: MnZn2
Method: DFT, PBE
State: relaxed

V = 14.23 A^3/atom
Formation energy = 0.0955 eV per atom
E = -11.4 eV/cell

The structure in POSCAR format:
```
MnZn2
1.0
-1.3502 1.9822 3.9882
1.3502 -1.9822 3.9882
1.3502 1.9822 -3.9882
Mn Zn
1 2
Direct
0.0000 0.0000 0.0000
0.3358 0.3358 0.0000
0.6642 0.6642 0.0000
```

# 2
Material: RbRhSe
Method: DFT, PBE
State: relaxed

V = 30.65 A^3/atom
Formation energy from raw total energies = -420 meV/atom
E = -26.1 eV/cell

The structure in POSCAR format:
```
RbRhSe
1.0
-3.7187 -0.6432 1.6637
-0.6836 -3.0392 -2.7030
4.3186 -7.1114 6.9037
Rb Se Rh
2 2 2
Direct
0.0000 0.5000 0.7975
0.5000 0.0000 0.2025
0.0000 0.5000 0.3659
0.5000 0.0000 0.6341
0.5000 0.5000 0.5000
0.0000 0.0000 0.5000
```

# 3
Material: Zr2Ga2Te7
Method: DFT, PBE
State: relaxed

V = 33.30 A^3/atom
Formation energy from raw total energies = -424 meV/atom
E = -49.8 eV/cell

The structure in POSCAR format:
```
Zr2Ga2Te7
1.0
8.0714 -0.2479 -0.2834
-1.0044 7.1355 -1.3771
-1.0044 -2.3141 6.8889
Zr Ga Te
2 2 7
Direct
0.0000 0.3012 0.6988
0.0000 0.6988 0.3012
0.4022 0.3258 0.3258
0.5978 0.6742 0.6742
0.7439 0.9011 0.5006
0.2561 0.4994 0.0989
0.2561 0.0989 0.4994
0.7439 0.5006 0.9011
0.5000 0.0000 0.0000
0.1728 0.6695 0.6695
0.8272 0.3305 0.3305
```

# 4
Material: La5TbSm2Er
Method: DFT, PBE
State: relaxed

V = 35.76 A^3/atom
Formation energy = 0.2823 eV per atom
E = -81.5 eV/cell

The structure in POSCAR format:
```
La5TbSm2Er
1.0
-0.3610 -3.8643 7.8069
1.7506 -7.6863 -3.7237
7.5939 7.1482 -0.9787
La Tb Sm Er
10 2 4 2
Direct
0.9262 0.4262 0.2869
0.6394 0.1394 0.7131
0.0738 0.5738 0.7131
0.1394 0.0738 0.7131
0.5738 0.6394 0.7131
0.8606 0.9262 0.2869
0.4262 0.3606 0.2869
0.3606 0.8606 0.2869
0.5000 0.5000 0.0000
0.0000 0.0000 0.0000
0.2500 0.2500 0.5000
0.7500 0.7500 0.5000
0.1216 0.3784 0.0000
0.6216 0.1216 0.0000
0.3784 0.8784 0.0000
0.8784 0.6216 0.0000
0.2500 0.7500 0.5000
0.7500 0.2500 0.5000
```

# 5
Material: ZrCo2Tc
Method: DFT, PBE
State: relaxed

Relative energy among the computed polymorphs = 0.059 eV/atom
V = 14.57 A^3/atom
Formation energy = 0.0306 eV per atom
E = -33.0 eV/cell

The structure in POSCAR format:
```
ZrCo2Tc
1.0
-2.6869 1.6233 -0.3543
-0.1927 -0.9736 -2.9991
-3.0513 -4.6762 1.7141
Co Tc Zr
2 1 1
Direct
0.0000 0.0000 0.0277
0.5000 0.5000 0.2518
0.0000 0.0000 0.4532
0.5000 0.5000 0.7673
```

# 6
Material: Sn2POs
Method: DFT, PBE
State: relaxed

V = 27.15 A^3/atom
Formation energy = 0.6514 eV per atom
E = -44.1 eV/cell

The structure in POSCAR format:
```
Sn2POs
1.0
-1.7756 1.1913 -5.7247
4.8039 -3.1137 -2.1379
-1.6586 -5.8355 -3.9616
P Os Sn
2 2 4
Direct
0.5000 0.5000 0.0000
0.2500 0.7500 0.5000
0.0000 0.0000 0.0000
0.7500 0.2500 0.5000
0.6304 0.1250 0.2500
0.1196 0.6250 0.2500
0.3750 0.3696 0.7500
0.8750 0.8804 0.7500
```

Look up the E of the third one. -49.8 eV/cell

Which value of E does entry 6 give? -44.1 eV/cell